one) Material: Fe2IrBr
Method: DFT, PBE
State: relaxed

a = 2.803 Å, b = 2.803 Å, c = 9.385 Å
α = 90.00°, β = 90.00°, γ = 117.14°
Atoms (fractional coordinates):
Ir  0.000  0.000  0.446
Fe  0.000  0.000  0.023
Fe  0.500  0.500  0.231
Br  0.500  0.500  0.800

Properties
crystal system	orthorhombic
symmetry	No. 35

two) Material: Fe2IrBr
Method: DFT, PBE
State: relaxed

a = 3.013 Å, b = 3.426 Å, c = 6.874 Å
α = 90.01°, β = 90.00°, γ = 90.00°
Atoms (fractional coordinates):
Fe  0.000  0.750  0.066
Fe  0.000  0.750  0.434
Br  0.500  0.750  0.750
Ir  0.500  0.250  0.250

Properties
crystal system	orthorhombic
symmetry	No. 47

two) is the most stable structure; the next one sits 22.8 kJ/mol of atoms above it.

one) Material: Fe2IrBr
Method: DFT, PBE
State: relaxed

a = 5.167 Å, b = 5.167 Å, c = 5.167 Å
α = 146.42°, β = 128.40°, γ = 62.98°
Atoms (fractional coordinates):
Ir  0.750  0.250  0.500
Fe  0.493  0.493  0.000
Fe  0.007  0.007  0.000
Br  0.250  0.750  0.500

Properties
crystal system	orthorhombic
symmetry	No. 71

two) Material: Fe2IrBr
Method: DFT, PBE
State: relaxed

a = 6.602 Å, b = 6.602 Å, c = 5.345 Å
α = 51.86°, β = 51.86°, γ = 90.00°
Atoms (fractional coordinates):
Fe  0.375  0.387  0.750
Fe  0.875  0.863  0.750
Fe  0.137  0.625  0.250
Fe  0.613  0.125  0.250
Br  0.500  0.500  0.000
Br  0.250  0.750  0.500
Ir  0.000  0.000  0.000
Ir  0.750  0.250  0.500

Properties
crystal system	tetragonal
symmetry	No. 122

one) is the most stable structure; the next one sits 25.2 kJ/mol of atoms above it.

one) Material: FeIr2Br
Method: DFT, PBE
State: relaxed

a = 4.386 Å, b = 4.386 Å, c = 4.386 Å
α = 60.00°, β = 60.00°, γ = 60.00°
Atoms (fractional coordinates):
Br  0.500  0.500  0.500
Ir  0.750  0.750  0.750
Ir  0.250  0.250  0.250
Fe  0.000  0.000  0.000

Properties
crystal system	cubic
symmetry	No. 225

two) Material: FeIr2Br
Method: DFT, PBE
State: relaxed

a = 3.025 Å, b = 3.025 Å, c = 7.052 Å
α = 90.00°, β = 90.00°, γ = 90.00°
Atoms (fractional coordinates):
Br  0.500  0.500  0.250
Fe  0.500  0.500  0.750
Ir  0.000  0.000  0.549
Ir  0.000  0.000  0.951

Properties
crystal system	tetragonal
symmetry	No. 123

three) Material: FeIr2Br
Method: DFT, PBE
State: relaxed

a = 4.615 Å, b = 2.931 Å, c = 4.675 Å
α = 90.69°, β = 90.00°, γ = 90.00°
Atoms (fractional coordinates):
Ir  0.000  0.992  0.991
Ir  0.000  0.508  0.509
Fe  0.500  0.750  0.750
Br  0.500  0.250  0.250

Properties
crystal system	monoclinic
symmetry	No. 10

four) Material: FeIr2Br
Method: DFT, PBE
State: relaxed

a = 4.694 Å, b = 4.694 Å, c = 2.891 Å
α = 90.00°, β = 90.00°, γ = 103.63°
Atoms (fractional coordinates):
Br  0.500  0.000  0.500
Ir  0.500  0.500  0.000
Ir  0.000  0.000  0.000
Fe  0.000  0.500  0.500

Properties
crystal system	orthorhombic
symmetry	No. 65

two) is the most stable structure; the next one sits 10.1 kJ/mol of atoms above it.

one) Material: FeIr2Br
Method: DFT, PBE
State: relaxed

a = 2.818 Å, b = 3.771 Å, c = 7.402 Å
α = 90.00°, β = 90.00°, γ = 90.00°
Atoms (fractional coordinates):
Ir  0.500  0.500  0.138
Ir  0.000  0.000  0.007
Fe  0.500  0.500  0.794
Br  0.000  0.000  0.561

Properties
crystal system	orthorhombic
symmetry	No. 25

two) Material: FeIr2Br
Method: DFT, PBE
State: relaxed

a = 4.450 Å, b = 4.450 Å, c = 4.450 Å
α = 120.04°, β = 120.04°, γ = 89.94°
Atoms (fractional coordinates):
Ir  0.250  0.750  0.500
Ir  0.000  0.000  0.000
Fe  0.750  0.250  0.500
Br  0.500  0.500  0.000

Properties
crystal system	cubic
symmetry	No. 216

one) is the most stable structure; the next one sits 32.8 kJ/mol of atoms above it.

one) Material: FeIr2Br
Method: DFT, PBE
State: relaxed

a = 5.376 Å, b = 5.376 Å, c = 5.376 Å
α = 149.16°, β = 128.42°, γ = 61.31°
Atoms (fractional coordinates):
Fe  0.748  0.248  0.500
Br  0.498  0.498  0.000
Ir  0.253  0.753  0.500
Ir  0.001  0.001  0.000

Properties
crystal system	orthorhombic
symmetry	No. 44

two) Material: FeIr2Br
Method: DFT, PBE
State: relaxed

a = 6.073 Å, b = 6.073 Å, c = 6.073 Å
α = 153.33°, β = 139.01°, γ = 49.57°
Atoms (fractional coordinates):
Br  0.250  0.750  0.500
Ir  0.962  0.962  0.000
Ir  0.538  0.538  0.000
Fe  0.750  0.250  0.500

Properties
crystal system	orthorhombic
symmetry	No. 71

three) Material: FeIr2Br
Method: DFT, PBE
State: relaxed

a = 4.569 Å, b = 4.569 Å, c = 6.656 Å
α = 89.08°, β = 89.08°, γ = 36.51°
Atoms (fractional coordinates):
Br  0.698  0.698  0.477
Ir  0.656  0.656  0.866
Ir  0.929  0.929  0.984
Fe  0.217  0.217  0.174

Properties
crystal system	monoclinic
symmetry	No. 8

three) is the most stable structure; the next one sits 18.6 kJ/mol of atoms above it.

one) Material: FeIr2Br
Method: DFT, PBE
State: relaxed

a = 2.714 Å, b = 2.714 Å, c = 11.526 Å
α = 90.00°, β = 90.00°, γ = 117.25°
Atoms (fractional coordinates):
Ir  0.000  0.000  0.571
Ir  0.000  0.000  0.929
Fe  0.500  0.500  0.750
Br  0.500  0.500  0.250

Properties
crystal system	orthorhombic
symmetry	No. 65

two) Material: FeIr2Br
Method: DFT, PBE
State: relaxed

a = 6.100 Å, b = 6.100 Å, c = 6.058 Å
α = 59.77°, β = 59.77°, γ = 90.00°
Atoms (fractional coordinates):
Br  0.000  0.000  0.000
Br  0.750  0.250  0.500
Ir  0.584  0.125  0.250
Ir  0.875  0.834  0.750
Ir  0.375  0.416  0.750
Ir  0.166  0.625  0.250
Fe  0.500  0.500  0.000
Fe  0.250  0.750  0.500

Properties
crystal system	tetragonal
symmetry	No. 122

three) Material: FeIr2Br
Method: DFT, PBE
State: relaxed

a = 9.526 Å, b = 9.526 Å, c = 9.526 Å
α = 17.13°, β = 17.13°, γ = 17.13°
Atoms (fractional coordinates):
Ir  0.264  0.264  0.264
Ir  0.008  0.008  0.008
Br  0.482  0.482  0.482
Fe  0.746  0.746  0.746

Properties
crystal system	trigonal
symmetry	No. 160

four) Material: FeIr2Br
Method: DFT, PBE
State: relaxed

a = 3.543 Å, b = 2.853 Å, c = 6.862 Å
α = 89.95°, β = 90.00°, γ = 90.00°
Atoms (fractional coordinates):
Ir  0.000  0.000  0.997
Ir  0.500  0.500  0.191
Br  0.000  0.499  0.501
Fe  0.500  0.501  0.810

Properties
crystal system	monoclinic
symmetry	No. 6

four) is the most stable structure; the next one sits 5.2 kJ/mol of atoms above it.

one) Material: FeIr2Br
Method: DFT, PBE
State: relaxed

a = 11.519 Å, b = 11.519 Å, c = 11.519 Å
α = 13.68°, β = 13.68°, γ = 13.68°
Atoms (fractional coordinates):
Br  0.250  0.250  0.250
Ir  0.024  0.024  0.024
Ir  0.476  0.476  0.476
Fe  0.750  0.750  0.750

Properties
crystal system	trigonal
symmetry	No. 166

two) Material: FeIr2Br
Method: DFT, PBE
State: relaxed

a = 5.166 Å, b = 5.166 Å, c = 4.523 Å
α = 84.27°, β = 84.27°, γ = 32.17°
Atoms (fractional coordinates):
Br  0.750  0.750  0.750
Ir  0.969  0.969  0.022
Ir  0.531  0.531  0.478
Fe  0.250  0.250  0.250

Properties
crystal system	monoclinic
symmetry	No. 12

one) is the most stable structure; the next one sits 8.4 kJ/mol of atoms above it.

one) Material: FeIr3Br
Method: DFT, PBE
State: relaxed

a = 4.578 Å, b = 4.578 Å, c = 4.578 Å
α = 90.00°, β = 90.00°, γ = 90.00°
Atoms (fractional coordinates):
Br  0.000  0.000  0.000
Ir  0.000  0.000  0.500
Ir  0.000  0.500  0.000
Ir  0.500  0.000  0.000
Fe  0.500  0.500  0.500

Properties
crystal system	cubic
symmetry	No. 221

two) Material: FeIr3Br
Method: DFT, PBE
State: relaxed

a = 4.532 Å, b = 4.532 Å, c = 4.532 Å
α = 90.00°, β = 90.00°, γ = 90.00°
Atoms (fractional coordinates):
Fe  0.000  0.000  0.000
Ir  0.000  0.500  0.000
Ir  0.500  0.000  0.000
Ir  0.000  0.000  0.500
Br  0.500  0.500  0.500

Properties
crystal system	cubic
symmetry	No. 221

two) is the most stable structure; the next one sits 56.5 kJ/mol of atoms above it.

one) Material: Fe3IrBr
Method: DFT, PBE
State: relaxed

a = 4.758 Å, b = 4.758 Å, c = 4.758 Å
α = 90.00°, β = 90.00°, γ = 90.00°
Atoms (fractional coordinates):
Ir  0.000  0.000  0.000
Fe  0.500  0.000  0.000
Fe  0.000  0.500  0.000
Fe  0.000  0.000  0.500
Br  0.500  0.500  0.500

Properties
crystal system	cubic
symmetry	No. 221

two) Material: Fe3IrBr
Method: DFT, PBE
State: relaxed

a = 4.308 Å, b = 4.308 Å, c = 4.308 Å
α = 90.00°, β = 90.00°, γ = 90.00°
Atoms (fractional coordinates):
Br  0.000  0.000  0.000
Fe  0.500  0.000  0.000
Fe  0.000  0.500  0.000
Fe  0.000  0.000  0.500
Ir  0.500  0.500  0.500

Properties
crystal system	cubic
symmetry	No. 221

one) is the most stable structure; the next one sits 22.6 kJ/mol of atoms above it.

one) Material: KFe2Br
Method: DFT, PBE
State: relaxed

a = 2.969 Å, b = 6.111 Å, c = 5.888 Å
α = 90.00°, β = 90.00°, γ = 90.00°
Atoms (fractional coordinates):
Fe  0.000  0.000  0.437
Fe  0.000  0.000  0.063
K  0.500  0.500  0.250
Br  0.500  0.500  0.750

Properties
crystal system	orthorhombic
symmetry	No. 47

two) Material: KFe2Br
Method: DFT, PBE
State: relaxed

a = 6.621 Å, b = 3.991 Å, c = 3.991 Å
α = 90.00°, β = 90.00°, γ = 90.00°
Atoms (fractional coordinates):
K  0.500  0.500  0.000
Fe  0.000  0.000  0.000
Fe  0.000  0.500  0.500
Br  0.500  0.000  0.500

Properties
crystal system	tetragonal
symmetry	No. 123

two) is the most stable structure; the next one sits 21.6 kJ/mol of atoms above it.

one) Material: KFe2Br
Method: DFT, PBE
State: relaxed

a = 6.253 Å, b = 6.253 Å, c = 6.253 Å
α = 150.28°, β = 119.52°, γ = 68.82°
Atoms (fractional coordinates):
Fe  0.835  0.335  0.500
Fe  0.997  0.997  0.000
K  0.480  0.480  0.000
Br  0.188  0.688  0.500

Properties
crystal system	orthorhombic
symmetry	No. 44

two) Material: KFe2Br
Method: DFT, PBE
State: relaxed

a = 6.481 Å, b = 6.481 Å, c = 3.113 Å
α = 90.00°, β = 90.00°, γ = 129.21°
Atoms (fractional coordinates):
Fe  0.000  0.000  0.000
Fe  0.500  0.500  0.000
K  0.500  0.000  0.500
Br  0.000  0.500  0.500

Properties
crystal system	orthorhombic
symmetry	No. 65

three) Material: KFe2Br
Method: DFT, PBE
State: relaxed

a = 3.434 Å, b = 3.434 Å, c = 7.561 Å
α = 90.00°, β = 90.00°, γ = 90.01°
Atoms (fractional coordinates):
K  0.000  0.000  0.507
Br  0.500  0.500  0.787
Fe  0.000  0.000  0.062
Fe  0.500  0.500  0.144

Properties
crystal system	tetragonal
symmetry	No. 99

four) Material: KFe2Br
Method: DFT, PBE
State: relaxed

a = 6.377 Å, b = 3.334 Å, c = 4.977 Å
α = 91.27°, β = 90.00°, γ = 90.00°
Atoms (fractional coordinates):
Br  0.500  0.750  0.750
K  0.500  0.250  0.250
Fe  0.000  0.518  0.421
Fe  0.000  0.982  0.079

Properties
crystal system	monoclinic
symmetry	No. 10

three) is the most stable structure; the next one sits 24.2 kJ/mol of atoms above it.